Entry 1:
Compound: LaNiO3
Source: the Alexandria database
Functional: GGA+U
Structure: optimized geometry

- raw total energy (eV per atom) = -6.4447
- V (Å³/cell) = 128.7
- Fermi-level density of states (states/eV/cell) = 3.48
- total moment (μB/f.u.) = 1.9

Cell: 4.0305 5.8794 5.7937 Å, 90.00 110.37 90.00°
Last column: nearest neighbours and their distance in Å.
Atoms (fractional coordinates):
Ni 0.9799 0.2500 0.4602  6 O 2.02-2.17
Ni 0.0201 0.7500 0.5398  6 O 2.02-2.17
O 0.8638 0.9792 0.2277  2 Ni 2.03-2.17
O 0.1362 0.0208 0.7723  2 Ni 2.03-2.17
O 0.8638 0.5208 0.2277  2 Ni 2.03-2.17
O 0.1362 0.4792 0.7723  2 Ni 2.03-2.17
O 0.4675 0.2500 0.4353  2 Ni 2.02
O 0.5325 0.7500 0.5647  2 Ni 2.02
La 0.6909 0.2500 0.8818  7 O 2.43-2.50
La 0.3091 0.7500 0.1182  7 O 2.43-2.50

Entry 2:
Compound: LaNiO3
Source: the Alexandria database
Functional: GGA+U
Structure: optimized geometry

- raw total energy (eV per atom) = -6.0477
- V (Å³/cell) = 154.9
- Fermi-level density of states (states/eV/cell) = 1.46
- total moment (μB/f.u.) = 1.4

Cell: 7.4230 7.4230 3.7322 Å, 90.00 90.00 131.13°
Last column: nearest neighbours and their distance in Å.
Atoms (fractional coordinates):
Ni 0.4143 0.5857 0.2500  2 O 1.82
Ni 0.5857 0.4143 0.7500  2 O 1.82
O 0.0974 0.4316 0.2500  1 Ni 1.82
O 0.5684 0.9026 0.2500  1 Ni 1.82
O 0.4316 0.0974 0.7500  1 Ni 1.82
O 0.9026 0.5684 0.7500  1 Ni 1.82
O 0.0000 0.0000 0.0000  2 O 1.87
O 0.0000 0.0000 0.5000  2 O 1.87
La 0.1701 0.8299 0.2500  8 O 2.47-2.63
La 0.8299 0.1701 0.7500  8 O 2.47-2.63